[1]
First-principles (PBE) data for an optimized crystal structure of BaZrNb2, as listed in Alexandria via LeMat-Bulk.

Calculated values
ΔE to the lowest computed polymorph   0.0 meV/atom

```
BaZrNb2
1.0
0.000 3.605 3.605
3.605 0.000 3.605
3.605 3.605 0.000
Ba Zr Nb
1 1 2
direct
0.000 0.000 0.000 Ba
0.500 0.500 0.500 Zr
0.250 0.250 0.250 Nb
0.750 0.750 0.750 Nb
```

=====

[2]
First-principles (PBE) data for an optimized crystal structure of BaZr2Nb, as listed in Alexandria via LeMat-Bulk.

Calculated values
ΔE to the lowest computed polymorph   0.0 meV/atom

```
BaZr2Nb
1.0
0.000 3.674 3.674
3.674 0.000 3.674
3.674 3.674 0.000
Ba Zr Nb
1 2 1
direct
0.000 0.000 0.000 Ba
0.250 0.250 0.250 Zr
0.750 0.750 0.750 Zr
0.500 0.500 0.500 Nb
```

=====

[3]
First-principles (PBE) data for an optimized crystal structure of BaZr3Nb, as listed in Alexandria via LeMat-Bulk.

Calculated values
ΔE to the lowest computed polymorph   0.0 meV/atom

```
BaZr3Nb
1.0
5.329 0.000 0.000
0.000 5.329 0.000
0.000 0.000 5.329
Ba Zr Nb
1 3 1
direct
0.000 0.000 0.000 Ba
0.000 0.500 0.500 Zr
0.500 0.000 0.500 Zr
0.500 0.500 0.000 Zr
0.500 0.500 0.500 Nb
```

=====

[4]
First-principles (PBE) data for an optimized crystal structure of BaZrNb3, as listed in Alexandria via LeMat-Bulk.

Calculated values
ΔE to the lowest computed polymorph   0.0 meV/atom

```
BaZrNb3
1.0
5.171 0.000 0.000
0.000 5.171 0.000
0.000 0.000 5.171
Ba Zr Nb
1 1 3
direct
0.000 0.000 0.000 Ba
0.500 0.500 0.500 Zr
0.000 0.500 0.500 Nb
0.500 0.000 0.500 Nb
0.500 0.500 0.000 Nb
```

=====

[5]
First-principles (PBE) data for an optimized crystal structure of BaNd3, as listed in Alexandria via LeMat-Bulk.

Calculated values
ΔE to the lowest computed polymorph   14.5 meV/atom

```
BaNd3
1.0
-2.699 2.699 5.376
2.699 -2.699 5.376
2.699 2.699 -5.376
Ba Nd
1 3
direct
0.000 0.000 0.000 Ba
0.250 0.750 0.500 Nd
0.500 0.500 0.000 Nd
0.750 0.250 0.500 Nd
```

=====

[6]
First-principles (PBE) data for an optimized crystal structure of Ba2Nd, as listed in Alexandria via LeMat-Bulk.

Calculated values
ΔE to the lowest computed polymorph   0.0 meV/atom

```
Ba2Nd
1.0
-2.049 2.049 8.944
2.049 -2.049 8.944
2.049 2.049 -8.944
Ba Nd
2 1
direct
0.154 0.154 0.000 Ba
0.846 0.846 0.000 Ba
0.500 0.500 0.000 Nd
```

=====

[7]
First-principles (PBE) data for an optimized crystal structure of BaNd3, as listed in Alexandria via LeMat-Bulk.

Calculated values
ΔE to the lowest computed polymorph   18.8 meV/atom

```
BaNd3
1.0
5.390 0.000 0.000
0.000 5.390 0.000
0.000 0.000 5.390
Ba Nd
1 3
direct
0.000 0.000 0.000 Ba
0.000 0.500 0.500 Nd
0.500 0.000 0.500 Nd
0.500 0.500 0.000 Nd
```

=====

[8]
First-principles (PBE) data for an optimized crystal structure of Ba2Nd, as listed in Alexandria via LeMat-Bulk.

Calculated values
ΔE to the lowest computed polymorph   32.9 meV/atom

```
Ba2Nd
1.0
6.599 -2.898 0.000
6.599 2.898 0.000
-1.241 0.000 3.877
Ba Nd
2 1
direct
0.161 0.161 0.160 Ba
0.839 0.839 0.840 Ba
0.500 0.500 0.500 Nd
```

=====

Number 1: formation energy 0.976 eV per atom. Number 2: formation energy 0.738 eV per atom. Number 3: formation energy 0.699 eV per atom. Number 4: formation energy 1.400 eV per atom. Number 5: formation energy 0.182 eV per atom. Number 6: formation energy 0.175 eV per atom. Number 7: formation energy 0.187 eV per atom. Number 8: formation energy 0.208 eV per atom.